Entry 1:
VASP calculation (GGA-PBE) on an optimized crystal structure of GdYSn2.

Computed properties:
**E**: -0.3469 Ry/atom
**Volume**: 129.0 Å³/cell

Unit cell a=3.3566 b=6.9137 c=6.9137 alpha=53.54 beta=90.00 gamma=90.00
Element x y z (fractional)
Gd (0.0000, 0.0000, 0.0000)
Y (0.0000, 0.2825, 0.2825)
Sn (0.0000, 0.5263, 0.5263)
Sn (0.0000, 0.7552, 0.7552)

Entry 2:
VASP calculation (GGA-PBE) on an optimized crystal structure of GdY2Sn7.

Computed properties:
**E**: -0.3761 Ry/atom
**Volume**: 260.8 Å³/cell

Unit cell a=13.4407 b=13.4407 c=4.4643 alpha=90.00 beta=90.00 gamma=161.13
Element x y z (fractional)
Gd (0.0000, 0.0000, 0.0000)
Y (0.3113, 0.6887, 0.5000)
Y (0.6887, 0.3113, 0.5000)
Sn (0.0962, 0.9038, 0.5000)
Sn (0.2114, 0.7886, 0.0000)
Sn (0.4033, 0.5967, 0.0000)
Sn (0.5000, 0.5000, 0.5000)
Sn (0.5967, 0.4033, 0.0000)
Sn (0.7886, 0.2114, 0.0000)
Sn (0.9038, 0.0962, 0.5000)

What is the formula in the first record?
GdYSn2